This record from Alexandria via LeMat-Bulk describes a relaxed YVSnAs2 crystal. The functional is GGA-PBE.

Summary:
total moment = 0.00 μB per formula unit
energy = -28.65 eV/cell
D(E_F) = 4.87 states/eV/cell
crystal system = tetragonal
energy relative to the elements = 46 meV per atom

Lattice parameters (Å, degrees): 4.7415 4.7415 5.3763 90.00 90.00 90.00
Last column: nearest neighbours and their distance in Å.
Space group P4/mmm (No. 123)
Symmetry-distinct sites (fractional):
Y 0.0000 0.0000 0.0000 (multiplicity 1)  2 V 2.69
V 0.0000 0.0000 0.5000 (multiplicity 1)  4 As 2.37
Sn 0.5000 0.5000 0.0000 (multiplicity 1)  4 Y 3.35, 8 As 3.58
As 0.0000 0.5000 0.5000 (multiplicity 2)  2 V 2.37